Entry 1:
HoMg2Ag: relaxed, GGA-PBE.

Cell: 7.0529 7.0529 7.0529 Å, 90.00 90.00 90.00°
Last column: nearest neighbours and their distance in Å.
Space group Fm-3m (No. 225)
Symmetry-distinct sites (fractional):
Ho  0.0000  0.0000  0.0000  8 Mg 3.05
Mg  0.2500  0.2500  0.2500  4 Ho 3.05, 4 Ag 3.05
Ag  0.0000  0.0000  0.5000  8 Mg 3.05

Results
ρ (g/cm3): 6.09
Calculated formation energy (eV per atom): -0.072

=====

Entry 2:
Hf3ScSb: relaxed, GGA-PBE.

Cell: 5.2409 5.2409 5.2409 Å, 90.00 90.00 90.00°
Last column: nearest neighbours and their distance in Å.
Space group Pm-3m (No. 221)
Symmetry-distinct sites (fractional):
Hf  0.0000  0.0000  0.5000  2 Sb 2.62
Sc  0.5000  0.5000  0.5000  12 Hf 3.71
Sb  0.0000  0.0000  0.0000  6 Hf 2.62

Results
Formation energy from raw total energies (eV per atom): 0.75
Energy above the lowest structure with this stoichiometry (meV per atom): 0
ρ (g/cm3): 8.10

=====

Entry 3:
TmHgAu: relaxed, GGA-PBE.

Cell: 5.2395 5.2395 5.9641 Å, 90.00 90.00 120.00°
Last column: nearest neighbours and their distance in Å.
Space group P6_3/mmc (No. 194)
Symmetry-distinct sites (fractional):
Tm  0.3333  0.6667  0.2500  5 Au 2.98-3.03, 3 Hg 3.03
Hg  0.0000  0.0000  0.2500  2 Hg 2.98, 3 Tm 3.03, 3 Au 3.03
Au  0.3333  0.6667  0.7500  5 Tm 2.98-3.03, 3 Hg 3.03

Results
ρ (g/cm3): 13.27
Calculated formation energy (eV per atom): -0.531

=====

> Number 1 is which compound?

HoMg2Ag

=====

> The lowest ρ belongs to which entry?

HoMg2Ag